Entry from the Alexandria database: a relaxed InReOs2 crystal (PBEsol).

Lattice parameters (Å, degrees): 2.7962 2.7962 7.9122 90.00 90.00 90.00
Element x y z (fractional)
In: 0.5000 0.5000 0.7528
Os: 0.0000 0.0000 0.0208
Os: 0.5000 0.5000 0.2485
Re: 0.0000 0.0000 0.4778

Values from the calculation:
V	61.9	Å³ per cell
total DFT energy (no corrections)	-9.824	eV per atom